VASP calculation (PBE-GGA) on crystalline MoP4H36C12Cl2 at its relaxed geometry.

Cell: 9.431 9.431 9.431 Å, 116.76 116.76 95.72°
Positions (direct):
Mo 0.000 0.000 0.000
P 0.144 0.791 0.000
P 0.209 0.209 0.353
P 0.791 0.144 0.000
P 0.856 0.856 0.647
H 0.022 0.687 0.565
H 0.054 0.181 0.494
H 0.081 0.480 0.826
H 0.099 0.733 0.205
H 0.106 0.901 0.634
H 0.121 0.456 0.435
H 0.181 0.054 0.494
H 0.255 0.654 0.174
H 0.267 0.472 0.366
H 0.281 0.281 0.670
H 0.313 0.819 0.873
H 0.313 0.879 0.335
H 0.346 0.520 0.601
H 0.389 0.719 0.000
H 0.440 0.946 0.127
H 0.456 0.121 0.435
H 0.472 0.267 0.366
H 0.480 0.081 0.826
H 0.520 0.346 0.601
H 0.528 0.894 0.795
H 0.544 0.978 0.665
H 0.560 0.687 0.506
H 0.611 0.611 0.330
H 0.654 0.255 0.174
H 0.687 0.022 0.565
H 0.687 0.560 0.506
H 0.719 0.389 0.000
H 0.733 0.099 0.205
H 0.745 0.919 0.399
H 0.819 0.313 0.873
H 0.879 0.313 0.335
H 0.894 0.528 0.795
H 0.901 0.106 0.634
H 0.919 0.745 0.399
H 0.946 0.440 0.127
H 0.978 0.544 0.665
C 0.013 0.563 0.802
C 0.180 0.180 0.520
C 0.211 0.761 0.198
C 0.239 0.437 0.449
C 0.340 0.820 0.000
C 0.437 0.239 0.449
C 0.563 0.013 0.802
C 0.660 0.660 0.480
C 0.761 0.211 0.198
C 0.789 0.987 0.551
C 0.820 0.340 0.000
C 0.987 0.789 0.551
Cl 0.195 0.195 0.000
Cl 0.805 0.805 0.000

Computed properties:
Uncorrected energy, eV/atom: -5.12
Total magnetization, Bohr magnetons per cell: 1.939

***

VASP calculation (PBE-GGA) on crystalline BiPd2Pb at its relaxed geometry.

Cell: 7.171 7.171 7.171 Å, 32.37 32.37 32.37°
Positions (direct):
Bi 0.000 0.000 0.000
Pd 0.418 0.418 0.418
Pd 0.576 0.576 0.576
Pb 0.829 0.829 0.829

Computed properties:
Uncorrected energy, eV/atom: -4.63
Formation enthalpy at 0 K, eV per atom: -0.14
Total magnetization, Bohr magnetons per cell: 0.000
DOS at the Fermi energy, states/eV per cell: 2.34

***

VASP calculation (PBE-GGA) on crystalline Pm9Sm4Zn11 at its relaxed geometry.

Cell: 13.375 13.375 3.555 Å, 90.00 90.00 109.20°
Positions (direct):
Pm 0.000 0.000 0.000
Pm 0.122 0.646 0.000
Pm 0.295 0.474 0.000
Pm 0.354 0.878 0.000
Pm 0.474 0.295 0.000
Pm 0.526 0.705 0.000
Pm 0.646 0.122 0.000
Pm 0.705 0.526 0.000
Pm 0.878 0.354 0.000
Sm 0.074 0.252 0.000
Sm 0.252 0.074 0.000
Sm 0.748 0.926 0.000
Sm 0.926 0.748 0.000
Zn 0.085 0.446 0.500
Zn 0.133 0.867 0.500
Zn 0.273 0.273 0.500
Zn 0.326 0.674 0.500
Zn 0.446 0.085 0.500
Zn 0.500 0.500 0.500
Zn 0.554 0.915 0.500
Zn 0.674 0.326 0.500
Zn 0.727 0.727 0.500
Zn 0.867 0.133 0.500
Zn 0.915 0.554 0.500

Computed properties:
Uncorrected energy, eV/atom: -3.39
Formation enthalpy at 0 K, eV per atom: -0.24
Total magnetization, Bohr magnetons per cell: 0.000
DOS at the Fermi energy, states/eV per cell: 22.88

***

VASP calculation (PBE-GGA) on crystalline Rb2ZrHgSe4 at its relaxed geometry.

Cell: 14.533 12.955 7.968 Å, 84.41 62.53 33.07°
Positions (direct):
Rb 0.056 0.056 0.694
Rb 0.306 0.306 0.944
Rb 0.694 0.694 0.056
Rb 0.944 0.944 0.306
Zr 0.125 0.125 0.125
Zr 0.875 0.875 0.875
Hg 0.375 0.375 0.375
Hg 0.625 0.625 0.625
Se 0.058 0.307 0.401
Se 0.266 0.599 0.693
Se 0.307 0.058 0.734
Se 0.401 0.734 0.058
Se 0.599 0.266 0.942
Se 0.693 0.942 0.266
Se 0.734 0.401 0.307
Se 0.942 0.693 0.599

Computed properties:
Uncorrected energy, eV/atom: -4.14
ΔE_f (raw), kcal/mol of atoms: -24.2
Total magnetization, Bohr magnetons per cell: 0.000
DOS at the Fermi energy, states/eV per cell: 0.00

***

VASP calculation (PBE-GGA) on crystalline Sr2PuP2N6 at its relaxed geometry.

Cell: 6.460 6.460 6.460 Å, 52.86 52.86 52.86°
Positions (direct):
Sr 0.225 0.225 0.225
Sr 0.775 0.775 0.775
Pu 0.000 0.000 0.000
P 0.434 0.434 0.434
P 0.566 0.566 0.566
N 0.253 0.253 0.730
N 0.253 0.730 0.253
N 0.270 0.747 0.747
N 0.730 0.253 0.253
N 0.747 0.270 0.747
N 0.747 0.747 0.270

Computed properties:
Uncorrected energy, eV/atom: -7.97
ΔE_f (raw), kcal/mol of atoms: -19.3
Total magnetization, Bohr magnetons per cell: 1.998
DOS at the Fermi energy, states/eV per cell: 5.58

***

VASP calculation (PBE-GGA) on crystalline CoTcRu at its relaxed geometry.

Cell: 5.843 5.843 5.843 Å, 153.74 153.74 37.47°
Positions (direct):
Co 0.000 0.000 0.000
Tc 0.340 0.340 0.000
Ru 0.663 0.663 0.000

Computed properties:
Uncorrected energy, eV/atom: -8.81
Formation enthalpy at 0 K, eV per atom: 0.10
Total magnetization, Bohr magnetons per cell: 0.000
E above lowest polymorph, kJ per mole of atoms: 2.4
DOS at the Fermi energy, states/eV per cell: 3.26

***

VASP calculation (PBE-GGA) on crystalline Pm3CdPb6 at its relaxed geometry.

Cell: 8.784 8.784 8.784 Å, 104.25 104.25 104.25°
Positions (direct):
Pm 0.060 0.306 0.390
Pm 0.306 0.390 0.060
Pm 0.390 0.060 0.306
Pm 0.610 0.940 0.694
Pm 0.694 0.610 0.940
Pm 0.940 0.694 0.610
Cd 0.000 0.000 0.000
Cd 0.500 0.500 0.500
Pb 0.004 0.107 0.681
Pb 0.107 0.681 0.004
Pb 0.242 0.685 0.392
Pb 0.315 0.608 0.758
Pb 0.319 0.996 0.893
Pb 0.392 0.242 0.685
Pb 0.608 0.758 0.315
Pb 0.681 0.004 0.107
Pb 0.685 0.392 0.242
Pb 0.758 0.315 0.608
Pb 0.893 0.319 0.996
Pb 0.996 0.893 0.319

Computed properties:
Uncorrected energy, eV/atom: -4.02
Formation enthalpy at 0 K, eV per atom: -0.28
Total magnetization, Bohr magnetons per cell: 0.000
DOS at the Fermi energy, states/eV per cell: 11.58

***

VASP calculation (PBE-GGA) on crystalline ZnAg3Hg at its relaxed geometry.

Cell: 4.244 5.212 8.977 Å, 93.76 90.81 113.89°
Positions (direct):
Zn 0.145 0.286 0.048
Zn 0.855 0.714 0.952
Ag 0.262 0.527 0.770
Ag 0.346 0.692 0.446
Ag 0.429 0.859 0.133
Ag 0.571 0.141 0.867
Ag 0.654 0.308 0.554
Ag 0.738 0.473 0.230
Hg 0.044 0.089 0.340
Hg 0.956 0.911 0.660

Computed properties:
Uncorrected energy, eV/atom: -2.00
Formation enthalpy at 0 K, eV per atom: 0.02
Total magnetization, Bohr magnetons per cell: 0.000
E above lowest polymorph, kJ per mole of atoms: 0.0
DOS at the Fermi energy, states/eV per cell: 2.26

***

VASP calculation (PBE-GGA) on crystalline LaYIr2 at its relaxed geometry.

Cell: 5.931 5.931 5.931 Å, 139.54 139.54 58.56°
Positions (direct):
La 0.000 0.000 0.000
Y 0.750 0.250 0.500
Ir 0.250 0.750 0.500
Ir 0.500 0.500 0.000

Computed properties:
Uncorrected energy, eV/atom: -7.73
Formation enthalpy at 0 K, eV per atom: -0.45
Total magnetization, Bohr magnetons per cell: 0.000
E above lowest polymorph, kJ per mole of atoms: 20.7
DOS at the Fermi energy, states/eV per cell: 2.60

***

VASP calculation (PBE-GGA) on crystalline Cd2PdCl2 at its relaxed geometry.

Cell: 6.775 6.775 6.775 Å, 142.12 142.12 54.65°
Positions (direct):
Cd 0.112 0.112 0.000
Cd 0.888 0.888 0.000
Pd 0.500 0.500 0.000
Cl 0.250 0.750 0.500
Cl 0.750 0.250 0.500

Computed properties:
Uncorrected energy, eV/atom: -2.31
ΔE_f (raw), kcal/mol of atoms: -3.9
Total magnetization, Bohr magnetons per cell: 0.000
E above lowest polymorph, kJ per mole of atoms: 1.0
DOS at the Fermi energy, states/eV per cell: 0.00

***

VASP calculation (PBE-GGA) on crystalline Li2Mg2Se3 at its relaxed geometry.

Cell: 10.036 10.036 7.272 Å, 111.14 111.14 80.35°
Positions (direct):
Li 0.078 0.922 0.750
Li 0.231 0.769 0.250
Li 0.336 0.498 0.973
Li 0.498 0.336 0.473
Li 0.502 0.664 0.527
Li 0.664 0.502 0.027
Li 0.769 0.231 0.750
Li 0.922 0.078 0.250
Mg 0.067 0.581 0.401
Mg 0.124 0.271 0.099
Mg 0.271 0.124 0.599
Mg 0.419 0.933 0.099
Mg 0.581 0.067 0.901
Mg 0.729 0.876 0.401
Mg 0.876 0.729 0.901
Mg 0.933 0.419 0.599
Se 0.038 0.193 0.696
Se 0.106 0.635 0.793
Se 0.193 0.038 0.196
Se 0.289 0.483 0.292
Se 0.365 0.894 0.707
Se 0.483 0.289 0.792
Se 0.517 0.711 0.208
Se 0.635 0.106 0.293
Se 0.711 0.517 0.708
Se 0.807 0.962 0.804
Se 0.894 0.365 0.207
Se 0.962 0.807 0.304

Computed properties:
Uncorrected energy, eV/atom: -3.71
ΔE_f (raw), kcal/mol of atoms: -28.0
Total magnetization, Bohr magnetons per cell: 0.000
DOS at the Fermi energy, states/eV per cell: 0.00

***

VASP calculation (PBE-GGA) on crystalline MgPaCdPt at its relaxed geometry.

Cell: 4.939 4.939 4.939 Å, 60.00 60.00 60.00°
Positions (direct):
Mg 0.000 0.000 0.000
Pa 0.500 0.500 0.500
Cd 0.750 0.750 0.750
Pt 0.250 0.250 0.250

Computed properties:
Uncorrected energy, eV/atom: -4.86
Formation enthalpy at 0 K, eV per atom: -0.35
Total magnetization, Bohr magnetons per cell: 0.000
DOS at the Fermi energy, states/eV per cell: 4.06

***

Repeat the twelfth record exactly.
VASP calculation (PBE-GGA) on crystalline MgPaCdPt at its relaxed geometry.

Cell: 4.939 4.939 4.939 Å, 60.00 60.00 60.00°
Positions (direct):
Mg 0.000 0.000 0.000
Pa 0.500 0.500 0.500
Cd 0.750 0.750 0.750
Pt 0.250 0.250 0.250

Computed properties:
Uncorrected energy, eV/atom: -4.86
Formation enthalpy at 0 K, eV per atom: -0.35
Total magnetization, Bohr magnetons per cell: 0.000
DOS at the Fermi energy, states/eV per cell: 4.06